# 1
Cs2SbPF6 PBE optimized geometry; SG = No. 139; formation energy (no corrections) = -2.062 eV/atom
1.0
-5.955 -0.597 -1.234
1.280 -4.388 -4.056
-2.815 -6.597 1.645
Cs Sb F P
2 1 6 1
Cartesian
-5.554 -4.843 -1.117 Cs
-1.936 -6.739 -2.528 Cs
0.000 0.000 0.000 Sb
-2.642 -5.104 0.084 F
-4.849 -6.478 -3.729 F
-1.197 -1.277 -1.355 F
-3.478 -3.708 -3.935 F
-4.102 -1.568 -1.957 F
-0.573 -3.417 -3.333 F
-2.338 -2.492 -2.645 P

# 2
SrCaTe3 PBE optimized geometry; SG = No. 221; formation energy (no corrections) = -0.740 eV/atom
1.0
-4.054 4.164 -0.555
-3.508 -2.931 3.632
2.311 2.856 4.537
Sr Ca Te
1 1 3
Cartesian
-2.625 2.044 3.807 Sr
0.000 0.000 0.000 Ca
-1.754 -1.465 1.816 Te
1.156 1.428 2.269 Te
-2.027 2.082 -0.278 Te

# 3
AlAg3 PBE optimized geometry; SG = No. 139; formation enthalpy at 0 K = -0.043 eV per atom
1.0
-1.744 -2.516 2.689
-2.472 -1.405 -2.919
4.882 -0.966 -0.825
Al Ag
1 3
Cartesian
0.000 0.000 0.000 Al
0.515 -2.722 0.874 Ag
0.151 -2.166 -1.929 Ag
-2.108 -1.961 -0.115 Ag

Please write out number 2 again, unchanged.
SrCaTe3 PBE optimized geometry; SG = No. 221; formation energy (no corrections) = -0.740 eV/atom
1.0
-4.054 4.164 -0.555
-3.508 -2.931 3.632
2.311 2.856 4.537
Sr Ca Te
1 1 3
Cartesian
-2.625 2.044 3.807 Sr
0.000 0.000 0.000 Ca
-1.754 -1.465 1.816 Te
1.156 1.428 2.269 Te
-2.027 2.082 -0.278 Te